Entry 1:
Compound: LiCr2Tc
Source: the Alexandria database
Functional: PBE-GGA
Structure: relaxed

Computed properties:
calculated formation energy	0.354	eV/atom
SG	No. 99
DFT total energy	-30.1	eV per cell

a b c (Å): 2.938 2.938 6.013
angles (deg): 90.00 90.00 90.00
Site moments in Bohr magnetons follow the coordinates.
Element x y z (fractional)
Cr1 0.000 0.000 0.002  -0.97
Cr2 0.500 0.500 0.239  2.44
Li1 0.000 0.000 0.496  0.00
Tc1 0.500 0.500 0.763  0.40

Entry 2:
Compound: Pu2PaO11
Source: the Alexandria database
Functional: PBE-GGA
Structure: relaxed

Computed properties:
SG	No. 8
formation energy from raw total energies	-2162	meV/atom
DFT total energy	-245.9	eV per cell

a b c (Å): 8.522 8.283 8.712
angles (deg): 72.63 57.44 62.43
Site moments in Bohr magnetons follow the coordinates.
Element x y z (fractional)
Pu1 0.699 0.721 0.279  1.39
Pu2 0.314 0.288 0.712  1.15
Pu3 0.795 0.221 0.779  1.38
Pu4 0.189 0.757 0.243  1.58
Pa1 0.708 0.763 0.762  -0.04
Pa2 0.234 0.238 0.237  -0.04
O1 0.649 0.737 0.514  -0.09
O2 0.363 0.257 0.488  -0.08
O3 0.108 0.512 0.743  -0.08
O4 0.823 0.986 0.764  -0.08
O5 0.900 0.486 0.263  -0.09
O6 0.161 0.037 0.235  -0.05
O7 0.433 0.765 0.963  -0.05
O8 0.573 0.236 0.014  -0.08
O9 0.524 0.479 0.521  0.43
O10 0.983 0.055 0.945  0.41
O11 0.992 0.813 0.187  -0.08
O12 0.065 0.171 0.829  0.33
O13 0.592 0.367 0.633  0.33
O14 0.377 0.687 0.313  -0.08
O15 0.502 0.958 0.290  -0.09
O16 0.521 0.046 0.698  -0.04
O17 0.265 0.302 0.954  -0.04
O18 0.019 0.210 0.536  -0.06
O19 0.750 0.710 0.042  -0.09
O20 0.959 0.755 0.521  -0.05
O21 0.236 0.479 0.245  -0.05
O22 0.764 0.464 0.790  -0.06

Entry 3:
Compound: Te2Pd8S
Source: the Alexandria database
Functional: PBE-GGA
Structure: relaxed

Computed properties:
SG	No. 12
formation energy from raw total energies	-197	meV/atom
DFT total energy	-54.1	eV per cell

a b c (Å): 4.345 6.693 7.425
angles (deg): 113.62 107.01 90.00
Element x y z (fractional)
Te1 0.833 0.338 0.665
Te2 0.167 0.662 0.335
Pd1 0.419 0.586 0.838
Pd2 0.669 0.950 0.337
Pd3 0.804 0.709 0.608
Pd4 0.969 0.168 0.938
Pd5 0.196 0.291 0.392
Pd6 0.331 0.050 0.663
Pd7 0.581 0.414 0.162
Pd8 0.031 0.832 0.062
S1 0.500 0.000 0.000

Entry 4:
Compound: Pm3OsI
Source: the Alexandria database
Functional: PBE-GGA
Structure: relaxed

Computed properties:
SG	No. 59
formation energy from raw total energies	-380	meV/atom
DFT total energy	-57.9	eV per cell

a b c (Å): 4.269 7.274 10.031
angles (deg): 90.00 90.00 90.00
Element x y z (fractional)
Pm1 0.750 0.500 0.142
Pm2 0.250 0.500 0.858
Pm3 0.750 0.000 0.142
Pm4 0.250 0.000 0.858
Pm5 0.750 0.250 0.618
Pm6 0.250 0.750 0.382
Os1 0.750 0.250 0.901
Os2 0.250 0.750 0.099
I1 0.250 0.250 0.359
I2 0.750 0.750 0.641

Entry 5:
Compound: Pm6Sm3Y
Source: the Alexandria database
Functional: PBE-GGA
Structure: relaxed

Computed properties:
calculated formation energy	0.141	eV/atom
SG	No. 36
DFT total energy	-95.4	eV per cell

a b c (Å): 6.503 11.084 11.084
angles (deg): 120.87 90.00 90.00
Element x y z (fractional)
Pm1 0.056 0.714 0.628
Pm2 0.556 0.628 0.714
Pm3 0.364 0.521 0.941
Pm4 0.864 0.941 0.521
Pm5 0.359 0.968 0.032
Pm6 0.654 0.278 0.722
Pm7 0.154 0.722 0.278
Pm8 0.859 0.032 0.968
Pm9 0.364 0.059 0.479
Pm10 0.864 0.479 0.059
Pm11 0.056 0.372 0.286
Pm12 0.556 0.286 0.372
Sm1 0.468 0.942 0.710
Sm2 0.968 0.710 0.942
Sm3 0.084 0.385 0.615
Sm4 0.584 0.615 0.385
Sm5 0.968 0.058 0.290
Sm6 0.468 0.290 0.058
Y1 0.110 0.189 0.811
Y2 0.610 0.811 0.189

Entry 6:
Compound: Mn4AlAs
Source: the Alexandria database
Functional: PBE-GGA
Structure: relaxed

Computed properties:
calculated formation energy	0.198	eV/atom
SG	No. 216
DFT total energy	-43.9	eV per cell

a b c (Å): 4.783 4.783 4.783
angles (deg): 60.00 60.00 60.00
Site moments in Bohr magnetons follow the coordinates.
Element x y z (fractional)
Mn1 0.874 0.375 0.375  1.31
Mn2 0.375 0.375 0.874  1.31
Mn3 0.375 0.874 0.375  1.31
Mn4 0.375 0.375 0.375  1.31
Al1 0.750 0.750 0.750  -0.05
As1 0.000 0.000 0.000  -0.01